Al2BiSbO | PBE | optimized geometry

Properties
raw formation energy = 0.088 eV/atom

a b c (Å): 5.459 5.459 4.006
angles (deg): 90.00 90.00 90.00
Space group P4/mmm (No. 123)
One atom of each set of equivalent atoms:
1 Al 0.000 0.500 0.000 [2 per cell]
2 Bi 0.000 0.000 0.500 [1 per cell]
3 Sb 0.500 0.500 0.000 [1 per cell]
4 O 0.500 0.500 0.500 [1 per cell]

---

Zr2Tl2Au | PBE | optimized geometry

Properties
formation energy from the elements = 4 kJ/mol of atoms
energy above the most stable polymorph in this dataset = 0.0000 eV/atom

a b c (Å): 7.311 7.311 4.607
angles (deg): 90.00 90.00 90.00
Space group P4/mbm (No. 127)
One atom of each set of equivalent atoms:
1 Zr 0.152 0.348 0.000 [4 per cell]
2 Tl 0.157 0.657 0.500 [4 per cell]
3 Au 0.000 0.000 0.000 [2 per cell]

---

These records have total moment values of 0.00 0.00 μB per atom, in the order they appear.
These records have DFT total energy values of -20.01 -49.77 eV for the cell shown, in the order they appear.